Entry from the Alexandria database: LaInGaPd3 after structural relaxation (PBE).

- VASP energy: -118.65 eV per cell
- E_form: -327.2 kJ/mol of formula units

Unit cell a=7.032 b=12.530 c=5.878 alpha=90.00 beta=90.00 gamma=90.00
Space group Cmcm (No. 63)
Inequivalent atoms, fractional coordinates:
La 0.000 0.193 0.250
In 0.000 0.447 0.250
Ga 0.000 0.128 0.750
Pd 0.000 0.329 0.750
Pd 0.197 0.000 0.000

---

Entry from the Alexandria database: LaInGa2Pd2 after structural relaxation (PBE).

- VASP energy: -28.17 eV per cell
- E_form: -391.9 kJ/mol of formula units

Unit cell a=4.4596 b=4.4596 c=7.1370 alpha=90.00 beta=90.00 gamma=120.00
Space group P-3m1 (No. 164)
Inequivalent atoms, fractional coordinates:
La 0.0000 0.0000 0.0000
In 0.0000 0.0000 0.5000
Ga 0.3333 0.6667 0.7372
Pd 0.3333 0.6667 0.3385

---

Entry from the Alexandria database: La2Pr2InGa4 after structural relaxation (PBE).

- VASP energy: -72.97 eV per cell
- E_form: -214.9 kJ/mol of formula units

Unit cell a=7.297 b=7.297 c=9.491 alpha=90.00 beta=90.00 gamma=90.00
Space group I4/mmm (No. 139)
Inequivalent atoms, fractional coordinates:
La 0.000 0.500 0.250
Pr 0.000 0.000 0.184
In 0.000 0.000 0.500
Ga 0.244 0.244 0.000

---

Entry from the Alexandria database: LaPrInGa after structural relaxation (PBE).

- VASP energy: -17.59 eV per cell
- E_form: -204.1 kJ/mol of formula units
- Relative energy among the computed polymorphs: 0 meV per atom

Unit cell a=3.815 b=3.815 c=7.792 alpha=90.00 beta=90.00 gamma=90.00
Space group P4mm (No. 99)
Inequivalent atoms, fractional coordinates:
La 0.000 0.000 0.000
Pr 0.000 0.000 0.471
In 0.500 0.500 0.730
Ga 0.500 0.500 0.241

---

Entry from the Alexandria database: LaPrInGa after structural relaxation (PBE).

- VASP energy: -69.95 eV per cell
- E_form: -194.5 kJ/mol of formula units
- Relative energy among the computed polymorphs: 25 meV per atom

Unit cell a=7.701 b=7.701 c=7.701 alpha=90.00 beta=90.00 gamma=90.00
Space group F-43m (No. 216)
Inequivalent atoms, fractional coordinates:
La 0.000 0.000 0.000
Pr 0.000 0.000 0.500
In 0.250 0.250 0.250
Ga 0.250 0.250 0.750

---

Entry from the Alexandria database: La3Pr3InGa2 after structural relaxation (PBE).

- VASP energy: -41.21 eV per cell
- E_form: -318.5 kJ/mol of formula units

Unit cell a=8.3737 b=8.3737 c=4.5994 alpha=90.00 beta=90.00 gamma=120.00
Space group P-62m (No. 189)
Inequivalent atoms, fractional coordinates:
La 0.0000 0.7192 0.0000
Pr 0.0000 0.4116 0.5000
In 0.0000 0.0000 0.5000
Ga 0.3333 0.6667 0.0000

---

Entry from the Alexandria database: La2InGaPt6 after structural relaxation (PBE).

- VASP energy: -59.69 eV per cell
- E_form: -755.5 kJ/mol of formula units

Unit cell a=5.712 b=5.714 c=8.944 alpha=90.10 beta=108.38 gamma=119.98
Space group P-1 (No. 2)
Inequivalent atoms, fractional coordinates:
La 0.086 0.293 0.379
In 0.500 0.500 0.000
Ga 0.500 0.000 0.500
Pt 0.011 0.755 0.269
Pt 0.484 0.245 0.730
Pt 0.485 0.741 0.731

---

Entry from the Alexandria database: La2InGa4Pt3 after structural relaxation (PBE).

- VASP energy: -51.63 eV per cell
- E_form: -849.6 kJ/mol of formula units

Unit cell a=4.377 b=4.377 c=10.803 alpha=90.00 beta=90.00 gamma=90.00
Space group P-4m2 (No. 115)
Inequivalent atoms, fractional coordinates:
La 0.000 0.500 0.238
In 0.000 0.000 0.500
Ga 0.000 0.000 0.000
Ga 0.000 0.500 0.646
Ga 0.500 0.500 0.000
Pt 0.000 0.500 0.876
Pt 0.500 0.500 0.500